#1
Below is a relaxed structure of K2BrO, with properties calculated at the GGA-PBE level.

Computed properties:
* SG: I-42d
* N(E_F): 0.000 states/eV/f.u.
* magnetic moment: 0.25 μB/atom

Cell: 7.869 7.869 6.905 Å, 55.26 55.26 90.00°
Positions (direct):
Br1 0.750 0.250 0.500
Br2 0.000 0.000 0.000
O1 0.500 0.500 0.000
O2 0.250 0.750 0.500
K1 0.375 0.437 0.750
K2 0.563 0.125 0.250
K3 0.187 0.625 0.250
K4 0.875 0.813 0.750

#2
Below is a relaxed structure of K2BrO, with properties calculated at the GGA-PBE level.

Computed properties:
* SG: Fm-3m
* N(E_F): 11.772 states/eV/f.u.
* magnetic moment: 0.25 μB/atom

Cell: 5.324 5.324 5.324 Å, 60.00 60.00 60.00°
Positions (direct):
K1 0.250 0.250 0.250
K2 0.750 0.750 0.750
Br1 0.500 0.500 0.500
O1 0.000 0.000 0.000

Most stable one: #1, least stable one: #2.

#1
Below is a relaxed structure of K4BrO, with properties calculated at the GGA-PBE level.

Computed properties:
* SG: C2/c
* N(E_F): 0.899 states/eV/f.u.
* magnetic moment: 0.00 μB/atom

Cell: 7.241 7.740 10.719 Å, 106.17 104.45 104.14°
Positions (direct):
K1 0.041 0.342 0.572
K2 0.914 0.134 0.189
K3 0.959 0.658 0.428
K4 0.725 0.445 0.811
K5 0.275 0.555 0.189
K6 0.469 0.269 0.428
K7 0.086 0.866 0.811
K8 0.531 0.731 0.572
O1 0.191 0.441 0.381
O2 0.809 0.559 0.619
Br1 0.679 0.929 0.359
Br2 0.321 0.071 0.641

#2
Below is a relaxed structure of K4BrO, with properties calculated at the GGA-PBE level.

Computed properties:
* SG: C2/m
* N(E_F): 1.946 states/eV/f.u.
* magnetic moment: 0.09 μB/atom

Cell: 5.012 5.013 7.950 Å, 89.82 89.91 90.00°
Positions (direct):
O1 0.001 0.997 0.498
K1 0.501 0.997 0.302
K2 0.001 0.496 0.302
K3 0.002 0.498 0.694
K4 0.502 0.998 0.694
Br1 0.501 0.497 0.998

Most stable one: #1, least stable one: #2.

#1
Below is a relaxed structure of KBr2O6, with properties calculated at the GGA-PBE level.

Computed properties:
* SG: C2/c
* N(E_F): 1.757 states/eV/f.u.
* magnetic moment: 0.11 μB/atom

Cell: 8.585 7.541 7.541 Å, 50.33 62.65 62.65°
Positions (direct):
Br1 0.914 0.707 0.616
Br2 0.586 0.384 0.293
Br3 0.414 0.616 0.707
Br4 0.086 0.293 0.384
O1 0.097 0.555 0.727
O2 0.515 0.673 0.193
O3 0.485 0.327 0.807
O4 0.182 0.054 0.362
O5 0.985 0.807 0.327
O6 0.015 0.193 0.673
O7 0.597 0.727 0.555
O8 0.318 0.638 0.946
O9 0.818 0.946 0.638
O10 0.682 0.362 0.054
O11 0.903 0.445 0.273
O12 0.403 0.273 0.445
K1 0.250 0.054 0.946
K2 0.750 0.946 0.054

#2
Below is a relaxed structure of KBr2O6, with properties calculated at the GGA-PBE level.

Computed properties:
* SG: R3
* N(E_F): 2.165 states/eV/f.u.
* magnetic moment: 0.11 μB/atom

Cell: 7.848 7.848 7.848 Å, 48.66 48.66 48.66°
Positions (direct):
Br1 0.740 0.740 0.740
Br2 0.593 0.593 0.593
K1 0.333 0.333 0.333
O1 0.854 0.431 0.422
O2 0.627 0.049 0.617
O3 0.431 0.422 0.854
O4 0.049 0.617 0.627
O5 0.617 0.627 0.049
O6 0.422 0.854 0.431

Most stable one: #1, least stable one: #2.

#1
Below is a relaxed structure of K8BrO4, with properties calculated at the GGA-PBE level.

Computed properties:
* SG: C2/m
* N(E_F): 20.620 states/eV/f.u.
* magnetic moment: 0.08 μB/atom

Cell: 8.082 8.082 8.815 Å, 102.48 104.15 119.84°
Positions (direct):
Br1 0.000 0.500 0.500
K1 0.850 0.514 0.834
K2 0.666 0.481 0.147
K3 0.334 0.519 0.853
K4 0.680 0.016 0.166
K5 0.150 0.486 0.166
K6 0.167 0.003 0.170
K7 0.833 0.997 0.830
K8 0.320 0.984 0.834
O1 0.268 0.769 0.037
O2 0.732 0.231 0.963
O3 0.754 0.754 0.000
O4 0.246 0.246 0.000

#2
Below is a relaxed structure of K8BrO4, with properties calculated at the GGA-PBE level.

Computed properties:
* SG: F-43m
* N(E_F): 19.480 states/eV/f.u.
* magnetic moment: 0.08 μB/atom

Cell: 8.382 8.382 8.382 Å, 60.00 60.00 60.00°
Positions (direct):
K1 0.599 0.599 0.202
K2 0.149 0.149 0.149
K3 0.149 0.553 0.149
K4 0.599 0.599 0.599
K5 0.553 0.149 0.149
K6 0.149 0.149 0.553
K7 0.202 0.599 0.599
K8 0.599 0.202 0.599
O1 0.373 0.373 0.881
O2 0.373 0.373 0.373
O3 0.881 0.373 0.373
O4 0.373 0.881 0.373
Br1 0.750 0.750 0.750

Most stable one: #1, least stable one: #2.

#1
Below is a relaxed structure of KP2BrO, with properties calculated at the GGA-PBE level.

Computed properties:
* SG: P4/mmm
* N(E_F): 10.856 states/eV/f.u.
* magnetic moment: 0.80 μB/atom

Cell: 6.435 6.435 4.760 Å, 90.00 90.00 90.00°
Positions (direct):
P1 0.000 0.500 0.000
P2 0.500 0.000 0.000
Br1 0.500 0.500 0.500
O1 0.000 0.000 0.500
K1 0.000 0.000 0.000

#2
Below is a relaxed structure of KP2BrO, with properties calculated at the GGA-PBE level.

Computed properties:
* SG: P4/mmm
* N(E_F): 2.637 states/eV/f.u.
* magnetic moment: 0.55 μB/atom

Cell: 5.112 5.112 4.405 Å, 90.00 90.00 90.00°
Positions (direct):
P1 0.000 0.500 0.000
P2 0.500 0.000 0.000
K1 0.500 0.500 0.500
Br1 0.000 0.000 0.000
O1 0.000 0.000 0.500

Most stable one: #2, least stable one: #1.

#1
Below is a relaxed structure of K2RbBrO, with properties calculated at the GGA-PBE level.

Computed properties:
* SG: P2_1/m
* magnetic moment: 0.02 μB/atom

Cell: 5.117 8.260 10.936 Å, 109.97 90.00 90.00°
Positions (direct):
O1 0.250 0.930 0.836
O2 0.750 0.070 0.164
K1 0.750 0.931 0.330
K2 0.250 0.993 0.089
K3 0.250 0.069 0.670
K4 0.750 0.007 0.911
Rb1 0.750 0.389 0.308
Rb2 0.250 0.611 0.692
Br1 0.750 0.290 0.609
Br2 0.250 0.710 0.391

#2
Below is a relaxed structure of K2RbBrO, with properties calculated at the GGA-PBE level.

Computed properties:
* SG: P4/mmm
* magnetic moment: 0.00 μB/atom

Cell: 5.288 5.288 5.577 Å, 90.00 90.00 90.00°
Positions (direct):
Rb1 0.000 0.000 0.500
K1 0.500 0.000 0.000
K2 0.000 0.500 0.000
Br1 0.500 0.500 0.500
O1 0.000 0.000 0.000

Most stable one: #2, least stable one: #1.

#1
Below is a relaxed structure of KSeBr2O, with properties calculated at the GGA-PBE level.

Computed properties:
* SG: P4/mmm
* N(E_F): 20.947 states/eV/f.u.
* magnetic moment: 0.20 μB/atom

Cell: 6.179 6.179 6.557 Å, 90.00 90.00 90.00°
Positions (direct):
O1 0.500 0.500 0.500
K1 0.000 0.000 0.000
Br1 0.000 0.500 0.000
Br2 0.500 0.000 0.000
Se1 0.000 0.000 0.500

#2
Below is a relaxed structure of KSeBr2O, with properties calculated at the GGA-PBE level.

Computed properties:
* SG: P4/mmm
* N(E_F): 4.756 states/eV/f.u.
* magnetic moment: 0.00 μB/atom

Cell: 6.465 6.465 3.646 Å, 90.00 90.00 90.00°
Positions (direct):
Br1 0.000 0.500 0.000
Br2 0.500 0.000 0.000
Se1 0.000 0.000 0.500
K1 0.500 0.500 0.500
O1 0.000 0.000 0.000

Most stable one: #2, least stable one: #1.

#1
Below is a relaxed structure of K2OsBr, with properties calculated at the GGA-PBE level.

Computed properties:
* SG: P4mm
* N(E_F): 3.187 states/eV/f.u.
* magnetic moment: 0.75 μB/atom

Cell: 4.897 4.897 6.968 Å, 90.00 90.00 90.00°
Positions (direct):
Os1 0.000 0.000 0.375
Br1 0.500 0.500 0.875
K1 0.500 0.500 0.375
K2 0.000 0.000 0.875

#2
Below is a relaxed structure of K2OsBr, with properties calculated at the GGA-PBE level.

Computed properties:
* SG: Imm2
* N(E_F): 2.105 states/eV/f.u.
* magnetic moment: 0.25 μB/atom

Cell: 6.892 6.892 6.892 Å, 152.36 130.58 57.57°
Positions (direct):
K1 0.027 0.027 0.000
K2 0.722 0.222 0.500
Os1 0.454 0.454 0.000
Br1 0.297 0.797 0.500

Most stable one: #2, least stable one: #1.